Entry 1:
# Sc6Te3C, relaxed, DFT PBE
data_Sc6Te3C
_chemical_formula_sum 'Sc24 Te12 C4'
_cell_length_a 10.961
_cell_length_b 13.581
_cell_length_c 6.594
_cell_angle_alpha 90.00
_cell_angle_beta 90.00
_cell_angle_gamma 90.00
_symmetry_space_group_name_H-M 'C m c 21'
_symmetry_Int_Tables_number 36
loop_
_symmetry_equiv_pos_as_xyz
'x,y,z'
'-x,-y,z+1/2'
'-x,y,z'
'x,-y,z+1/2'
'x+1/2,y+1/2,z'
'-x+1/2,-y+1/2,z+1/2'
'-x+1/2,y+1/2,z'
'x+1/2,-y+1/2,z+1/2'
loop_
_atom_site_label
_atom_site_type_symbol
_atom_site_fract_x
_atom_site_fract_y
_atom_site_fract_z
Sc1 Sc 0.000 0.053 0.000
Sc2 Sc 0.000 0.231 0.555
Sc3 Sc 0.158 0.446 0.516
Sc4 Sc 0.159 0.256 0.997
Te1 Te 0.000 0.400 0.190
Te2 Te 0.175 0.093 0.336
C1 C 0.000 0.191 0.866
# Raw formation energy in meV/atom: -631
# Total magnetization in μB per formula unit: 0.00
# Fermi-level density of states in states/eV/f.u.: 9.55


Entry 2:
# ScTeC2, relaxed, DFT PBE
data_ScTeC2
_chemical_formula_sum 'Sc4 Te4 C8'
_cell_length_a 5.218
_cell_length_b 5.218
_cell_length_c 10.014
_cell_angle_alpha 90.00
_cell_angle_beta 90.00
_cell_angle_gamma 90.00
_symmetry_space_group_name_H-M 'I -4 2 d'
_symmetry_Int_Tables_number 122
_symmetry_space_group_name_Hall 'I -4 2bw'
loop_
_atom_site_label
_atom_site_type_symbol
_atom_site_fract_x
_atom_site_fract_y
_atom_site_fract_z
Sc1 Sc 0.000 0.000 0.000
Te1 Te 0.000 0.000 0.500
C1 C 0.244 0.250 0.625
# Raw formation energy in meV/atom: 896
# Total magnetization in μB per formula unit: 0.00
# Fermi-level density of states in states/eV/f.u.: 7.01